[1]
This record from Alexandria describes a geometry-optimized In2IN structure. The functional is GGA-PBE.

abc: 5.159 5.159 5.159
angles: 60.00 60.00 60.00
Fractional coordinates of all 4 atoms:
1 In 0.250 0.250 0.250
2 In 0.750 0.750 0.750
3 I 0.000 0.000 0.000
4 N 0.500 0.500 0.500

Results
Formation energy without anion corrections (eV/atom): 1.083

***

[2]
This record from Alexandria describes a geometry-optimized Mg3Si structure. The functional is GGA-PBE.

abc: 5.292 5.292 5.292
angles: 132.60 132.60 69.29
Fractional coordinates of all 4 atoms:
1 Mg 0.000 0.000 0.000
2 Mg 0.250 0.750 0.500
3 Mg 0.750 0.250 0.500
4 Si 0.500 0.500 0.000

Results
Formation energy without anion corrections (eV/atom): 0.034

***

[3]
This record from Alexandria describes a geometry-optimized La6HoSc structure. The functional is GGA-PBE.

abc: 5.922 7.387 7.387
angles: 60.04 90.00 90.00
Fractional coordinates of all 8 atoms:
1 La 0.000 0.000 0.000
2 La 0.000 0.480 0.999
3 La 0.000 0.999 0.480
4 La 0.500 0.162 0.659
5 La 0.500 0.658 0.658
6 La 0.500 0.659 0.162
7 Ho 0.000 0.493 0.493
8 Sc 0.500 0.160 0.160

Results
Formation enthalpy at 0 K (kcal/mol of atoms): 0.2

***

[4]
This record from Alexandria describes a geometry-optimized LiBr3 structure. The functional is GGA-PBE.

abc: 7.854 7.854 7.854
angles: 30.00 30.00 30.00
Fractional coordinates of all 4 atoms:
1 Li 0.000 0.000 0.000
2 Br 0.273 0.273 0.273
3 Br 0.500 0.500 0.500
4 Br 0.727 0.727 0.727

Results
Formation energy without anion corrections (eV/atom): -0.375

***

[5]
This record from Alexandria describes a geometry-optimized Y8InSn5 structure. The functional is GGA-PBE.

abc: 8.063 8.063 8.063
angles: 109.49 109.49 109.44
Fractional coordinates of all 14 atoms:
1 Y 0.020 0.127 0.753
2 Y 0.236 0.484 0.608
3 Y 0.372 0.764 0.248
4 Y 0.374 0.267 0.247
5 Y 0.516 0.124 0.752
6 Y 0.733 0.980 0.107
7 Y 0.873 0.626 0.893
8 Y 0.876 0.628 0.392
9 In 0.750 0.250 0.500
10 Sn 0.127 0.002 0.376
11 Sn 0.249 0.873 0.876
12 Sn 0.500 0.500 0.000
13 Sn 0.626 0.751 0.624
14 Sn 0.998 0.374 0.124

Results
Formation enthalpy at 0 K (kcal/mol of atoms): -16.1

***

[6]
This record from Alexandria describes a geometry-optimized CaMn2Te structure. The functional is GGA-PBE.

abc: 6.383 6.383 6.383
angles: 37.41 37.41 37.41
Fractional coordinates of all 4 atoms:
1 Ca 0.000 0.000 0.000
2 Mn 0.468 0.468 0.468
3 Mn 0.784 0.784 0.784
4 Te 0.206 0.206 0.206

Results
Formation energy without anion corrections (eV/atom): -0.108

***

[7]
This record from Alexandria describes a geometry-optimized K3Si structure. The functional is GGA-PBE.

abc: 9.813 10.639 6.763
angles: 90.00 90.00 90.00
Fractional coordinates of all 16 atoms:
1 K 0.023 0.250 0.085
2 K 0.165 0.065 0.612
3 K 0.165 0.435 0.612
4 K 0.335 0.565 0.112
5 K 0.335 0.935 0.112
6 K 0.477 0.750 0.585
7 K 0.523 0.250 0.415
8 K 0.665 0.065 0.888
9 K 0.665 0.435 0.888
10 K 0.835 0.565 0.388
11 K 0.835 0.935 0.388
12 K 0.977 0.750 0.915
13 Si 0.132 0.750 0.434
14 Si 0.368 0.250 0.934
15 Si 0.632 0.750 0.066
16 Si 0.868 0.250 0.566

Results
Formation energy without anion corrections (eV/atom): 0.235

***

[8]
This record from Alexandria describes a geometry-optimized NaSb2Te4 structure. The functional is GGA-PBE.

abc: 7.474 7.474 15.650
angles: 90.00 90.00 147.36
Fractional coordinates of all 14 atoms:
1 Na 0.105 0.895 0.750
2 Na 0.895 0.105 0.250
3 Sb 0.360 0.640 0.572
4 Sb 0.360 0.640 0.928
5 Sb 0.640 0.360 0.072
6 Sb 0.640 0.360 0.428
7 Te 0.000 0.000 0.000
8 Te 0.000 0.000 0.500
9 Te 0.282 0.718 0.113
10 Te 0.282 0.718 0.387
11 Te 0.440 0.560 0.750
12 Te 0.560 0.440 0.250
13 Te 0.718 0.282 0.613
14 Te 0.718 0.282 0.887

Results
Formation energy without anion corrections (eV/atom): -0.207

***

[9]
This record from Alexandria describes a geometry-optimized BePb2 structure. The functional is GGA-PBE.

abc: 6.706 6.706 8.121
angles: 124.26 124.26 32.74
Fractional coordinates of all 6 atoms:
1 Be 0.221 0.221 0.024
2 Be 0.779 0.779 0.976
3 Pb 0.204 0.204 0.675
4 Pb 0.473 0.473 0.189
5 Pb 0.527 0.527 0.811
6 Pb 0.796 0.796 0.325

Results
Formation enthalpy at 0 K (kcal/mol of atoms): 6.7

***

[10]
This record from Alexandria describes a geometry-optimized PrYHoTl structure. The functional is GGA-PBE.

abc: 4.852 4.913 4.983
angles: 90.00 90.00 90.00
Fractional coordinates of all 4 atoms:
1 Pr 0.000 0.000 0.000
2 Y 0.500 0.000 0.500
3 Ho 0.500 0.500 0.000
4 Tl 0.000 0.500 0.500

Results
Formation enthalpy at 0 K (kcal/mol of atoms): -4.3

***

[11]
This record from Alexandria describes a geometry-optimized OsAuS structure. The functional is GGA-PBE.

abc: 2.823 4.364 4.787
angles: 90.00 90.00 90.00
Fractional coordinates of all 3 atoms:
1 Os 0.000 0.000 0.000
2 Au 0.500 0.000 0.500
3 S 0.000 0.500 0.000

Results
Formation energy without anion corrections (eV/atom): 0.404

***

[12]
This record from Alexandria describes a geometry-optimized BaCa5Mg structure. The functional is GGA-PBE.

abc: 5.641 5.641 9.813
angles: 90.00 90.00 90.00
Fractional coordinates of all 7 atoms:
1 Ba 0.000 0.000 0.000
2 Ca 0.000 0.500 0.303
3 Ca 0.000 0.500 0.697
4 Ca 0.500 0.000 0.303
5 Ca 0.500 0.000 0.697
6 Ca 0.500 0.500 0.000
7 Mg 0.500 0.500 0.500

Results
Formation enthalpy at 0 K (kcal/mol of atoms): 2.4

***

[13]
This record from Alexandria describes a geometry-optimized Rb3Nd2TlO6 structure. The functional is GGA-PBE.

abc: 6.275 6.275 6.934
angles: 98.65 98.65 119.98
Fractional coordinates of all 12 atoms:
1 Rb 0.000 0.000 0.000
2 Rb 0.337 0.663 0.000
3 Rb 0.663 0.337 0.000
4 Nd 0.167 0.833 0.500
5 Nd 0.833 0.167 0.500
6 Tl 0.500 0.500 0.500
7 O 0.105 0.438 0.314
8 O 0.228 0.228 0.685
9 O 0.438 0.105 0.314
10 O 0.562 0.895 0.686
11 O 0.772 0.772 0.315
12 O 0.895 0.562 0.686

Results
Formation energy without anion corrections (eV/atom): -1.998

***

[14]
This record from Alexandria describes a geometry-optimized HfMoW14 structure. The functional is GGA-PBE.

abc: 5.534 5.534 9.059
angles: 90.00 90.00 109.31
Fractional coordinates of all 16 atoms:
1 Hf 0.000 0.000 0.000
2 Mo 0.500 0.500 0.000
3 W 0.000 0.000 0.500
4 W 0.000 0.500 0.000
5 W 0.000 0.500 0.500
6 W 0.249 0.751 0.251
7 W 0.249 0.751 0.749
8 W 0.253 0.253 0.254
9 W 0.253 0.253 0.746
10 W 0.500 0.000 0.000
11 W 0.500 0.000 0.500
12 W 0.500 0.500 0.500
13 W 0.747 0.747 0.254
14 W 0.747 0.747 0.746
15 W 0.751 0.249 0.251
16 W 0.751 0.249 0.749

Results
Formation enthalpy at 0 K (kcal/mol of atoms): -0.4

***

[15]
This record from Alexandria describes a geometry-optimized Dy4CoBi structure. The functional is GGA-PBE.

abc: 7.090 5.999 7.827
angles: 90.00 90.00 90.00
Fractional coordinates of all 12 atoms:
1 Dy 0.000 0.067 0.000
2 Dy 0.000 0.800 0.615
3 Dy 0.239 0.631 0.200
4 Dy 0.261 0.369 0.700
5 Dy 0.500 0.200 0.115
6 Dy 0.500 0.933 0.500
7 Dy 0.739 0.369 0.700
8 Dy 0.761 0.631 0.200
9 Co 0.000 0.533 0.903
10 Co 0.500 0.467 0.403
11 Bi 0.000 0.208 0.373
12 Bi 0.500 0.792 0.873

Results
Formation enthalpy at 0 K (kcal/mol of atoms): -2.6

***

[16]
This record from Alexandria describes a geometry-optimized AcTb4PmEr2 structure. The functional is GGA-PBE.

abc: 5.103 5.129 10.198
angles: 90.00 90.00 90.00
Fractional coordinates of all 8 atoms:
1 Ac 0.000 0.000 0.000
2 Tb 0.000 0.500 0.257
3 Tb 0.000 0.500 0.743
4 Tb 0.500 0.000 0.258
5 Tb 0.500 0.000 0.742
6 Pm 0.500 0.500 0.500
7 Er 0.000 0.000 0.500
8 Er 0.500 0.500 0.000

Results
Formation enthalpy at 0 K (kcal/mol of atoms): 0.9

***

[17]
This record from Alexandria describes a geometry-optimized KRbSr2Cu structure. The functional is GGA-PBE.

abc: 6.189 6.189 6.981
angles: 90.00 90.00 90.00
Fractional coordinates of all 5 atoms:
1 K 0.000 0.000 0.000
2 Rb 0.500 0.500 0.000
3 Sr 0.000 0.500 0.500
4 Sr 0.500 0.000 0.500
5 Cu 0.500 0.500 0.500

Results
Formation enthalpy at 0 K (kcal/mol of atoms): 3.0

***

[18]
This record from Alexandria describes a geometry-optimized ZnReAu structure. The functional is GGA-PBE.

abc: 7.221 7.030 2.722
angles: 82.97 75.06 21.97
Fractional coordinates of all 3 atoms:
1 Zn 0.000 0.000 0.000
2 Re 0.658 0.658 0.342
3 Au 0.337 0.337 0.663

Results
Formation enthalpy at 0 K (kcal/mol of atoms): 6.8

***

[19]
This record from Alexandria describes a geometry-optimized CeNdTlPb structure. The functional is GGA-PBE.

abc: 5.547 5.547 5.547
angles: 60.00 60.00 60.00
Fractional coordinates of all 4 atoms:
1 Ce 0.000 0.000 0.000
2 Nd 0.500 0.500 0.500
3 Tl 0.250 0.250 0.250
4 Pb 0.750 0.750 0.750

Results
Formation enthalpy at 0 K (kcal/mol of atoms): -8.2

***

[20]
This record from Alexandria describes a geometry-optimized BaOsSe2 structure. The functional is GGA-PBE.

abc: 5.626 5.626 5.719
angles: 109.39 109.39 40.46
Fractional coordinates of all 4 atoms:
1 Ba 0.000 0.000 0.000
2 Os 0.764 0.764 0.423
3 Se 0.190 0.190 0.621
4 Se 0.345 0.345 0.262

Results
Formation energy without anion corrections (eV/atom): -0.474

***

no.,Fermi-level density of states (states/eV/cell),M_tot (μB per atom)
1,2.71,0.000
2,1.05,0.000
3,13.60,0.000
4,4.81,0.478
5,9.80,0.000
6,3.44,0.058
7,9.13,0.255
8,8.78,0.000
9,1.25,0.000
10,5.69,0.122
11,1.50,0.000
12,8.64,0.000
13,0.00,0.000
14,4.64,0.000
15,11.46,0.000
16,11.84,0.000
17,4.25,0.000
18,1.44,0.000
19,8.71,0.330
20,1.97,0.000